[1]
# LiHoPd

A geometry-optimized LiHoPd structure (PBE, OQMD via LeMat-Bulk).

Results
- V: 22.8 A^3/atom
- Final energy: -4.320 eV/atom
- Energy above the lowest structure with this stoichiometry: 0.00 eV per formula unit

Lattice parameters (Å, degrees): 4.5906 4.5906 4.5906 60.00 60.00 60.00
Closest atoms and distances in Å follow each position.
Positions (direct):
1 Ho 0.2500 0.2500 0.2500  4 Pd 2.81
2 Li 0.7500 0.7500 0.7500  4 Pd 2.81
3 Pd 0.0000 0.0000 0.0000  4 Li 2.81, 4 Ho 2.81


[2]
# Dy2TmIn3Co3

A geometry-optimized Dy2TmIn3Co3 structure (PBE, OQMD via LeMat-Bulk).

Results
- V: 19.7 A^3/atom
- Final energy: -5.095 eV/atom

Lattice parameters (Å, degrees): 3.8150 7.3309 7.3309 119.98 90.00 90.00
Closest atoms and distances in Å follow each position.
Positions (direct):
1 Co 0.0000 0.0010 0.0010  6 In 2.67-2.68, 1 Tm 2.98
2 Co 0.5000 0.6650 0.3342  3 In 2.76-2.80, 2 Tm 2.92, 4 Dy 2.93
3 Co 0.5000 0.3342 0.6650  3 In 2.76-2.80, 2 Tm 2.92, 4 Dy 2.93
4 Dy 0.0000 0.5917 0.0005  5 Co 2.93-3.00, 6 In 3.12-3.25
5 Dy 0.0000 0.0005 0.5917  5 Co 2.93-3.00, 6 In 3.12-3.25
6 In 0.5000 0.2550 0.0013  4 Co 2.67-2.80
7 In 0.5000 0.0013 0.2550  4 Co 2.67-2.80
8 In 0.5000 0.7441 0.7441  4 Co 2.68-2.76
9 Tm 0.0000 0.4073 0.4073  5 Co 2.92-2.98, 6 In 3.12-3.23


[3]
# LuAlCuAu

A geometry-optimized LuAlCuAu structure (PBE, OQMD via LeMat-Bulk).

Results
- V: 17.7 A^3/atom
- Final energy: -4.358 eV/atom
- Energy above the lowest structure with this stoichiometry: 0.00 eV per formula unit

Lattice parameters (Å, degrees): 4.6453 4.6453 4.6453 60.00 60.00 60.00
Closest atoms and distances in Å follow each position.
Positions (direct):
1 Al 0.5000 0.5000 0.5000  4 Cu 2.84, 4 Au 2.84
2 Au 0.7500 0.7500 0.7500  4 Al 2.84, 4 Lu 2.84
3 Cu 0.2500 0.2500 0.2500  4 Al 2.84, 4 Lu 2.84
4 Lu 0.0000 0.0000 0.0000  4 Au 2.84, 4 Cu 2.84


[4]
# Ho3Sc3NiTe2

A geometry-optimized Ho3Sc3NiTe2 structure (PBE, OQMD via LeMat-Bulk).

Results
- V: 24.0 A^3/atom
- Final energy: -5.677 eV/atom
- Energy above the lowest structure with this stoichiometry: 0.00 eV per formula unit

Lattice parameters (Å, degrees): 7.9818 7.9818 3.9104 90.00 90.00 120.00
Closest atoms and distances in Å follow each position.
Positions (direct):
1 Ho 0.3923 0.0000 0.0000  1 Ni 3.13, 4 Te 3.14, 4 Sc 3.35
2 Ho 0.0000 0.3923 0.0000  1 Ni 3.13, 4 Te 3.14, 4 Sc 3.35
3 Ho 0.6077 0.6077 0.0000  1 Ni 3.13, 4 Te 3.14, 4 Sc 3.35
4 Ni 0.0000 0.0000 0.0000  6 Sc 2.69
5 Sc 0.7688 0.0000 0.5000  2 Ni 2.69
6 Sc 0.2312 0.2312 0.5000  2 Ni 2.69
7 Sc 0.0000 0.7688 0.5000  2 Ni 2.69
8 Te 0.6667 0.3333 0.5000  6 Ho 3.14, 3 Sc 3.15
9 Te 0.3333 0.6667 0.5000  6 Ho 3.14, 3 Sc 3.15


[5]
# Sn2MoAs

A geometry-optimized Sn2MoAs structure (PBE, OQMD via LeMat-Bulk).

Results
- V: 20.9 A^3/atom
- Final energy: -5.298 eV/atom

Lattice parameters (Å, degrees): 4.9047 4.9047 4.9047 60.00 60.00 60.00
Closest atoms and distances in Å follow each position.
Positions (direct):
1 As 0.0000 0.0000 0.0000  4 Mo 3.00, 4 Sn 3.00
2 Mo 0.7500 0.7500 0.7500  4 Sn 3.00, 4 As 3.00
3 Sn 0.2500 0.2500 0.2500  4 Sn 3.00, 4 As 3.00
4 Sn 0.5000 0.5000 0.5000  4 Mo 3.00, 4 Sn 3.00


[6]
# LuMg2Ga

A geometry-optimized LuMg2Ga structure (PBE, OQMD via LeMat-Bulk).

Results
- V: 21.5 A^3/atom
- Final energy: -2.861 eV/atom

Lattice parameters (Å, degrees): 4.9509 4.9509 4.9509 60.00 60.00 60.00
Closest atoms and distances in Å follow each position.
Positions (direct):
1 Ga 0.5000 0.5000 0.5000  4 Lu 3.03, 4 Mg 3.03
2 Lu 0.2500 0.2500 0.2500  4 Ga 3.03, 4 Mg 3.03
3 Mg 0.0000 0.0000 0.0000  4 Mg 3.03, 4 Lu 3.03
4 Mg 0.7500 0.7500 0.7500  4 Mg 3.03, 4 Ga 3.03


[7]
# Zr7P4

A geometry-optimized Zr7P4 structure (PBE, OQMD via LeMat-Bulk).

Results
- V: 18.8 A^3/atom
- Final energy: -8.574 eV/atom

Lattice parameters (Å, degrees): 8.1567 8.1567 14.8129 104.49 104.49 25.67
Closest atoms and distances in Å follow each position.
Positions (direct):
1 P 0.3748 0.3748 0.1018  7 Zr 2.64-2.79
2 P 0.6304 0.6304 0.1596  8 Zr 2.68-2.76
3 P 0.0629 0.0629 0.3526  7 Zr 2.60-2.72
4 P 0.8235 0.8235 0.3880  8 Zr 2.71-2.88
5 P 0.1765 0.1765 0.6120  8 Zr 2.71-2.88
6 P 0.9371 0.9371 0.6474  7 Zr 2.60-2.72
7 P 0.3696 0.3696 0.8404  8 Zr 2.68-2.76
8 P 0.6252 0.6252 0.8982  7 Zr 2.64-2.79
9 Zr 0.5000 0.5000 0.0000  4 P 2.72-2.79
10 Zr 0.1759 0.1759 0.0412  5 P 2.74-3.06
11 Zr 0.0043 0.0043 0.1678  5 P 2.66-2.73
12 Zr 0.8040 0.8040 0.1892  4 P 2.64-2.88
13 Zr 0.2050 0.2050 0.2971  5 P 2.60-2.76
14 Zr 0.4318 0.4318 0.3310  4 P 2.72-2.78
15 Zr 0.6600 0.6600 0.4706  4 P 2.71-2.73
16 Zr 0.0000 0.0000 0.5000  4 P 2.62-2.87
17 Zr 0.3400 0.3400 0.5294  4 P 2.71-2.73
18 Zr 0.5682 0.5682 0.6690  4 P 2.72-2.78
19 Zr 0.7950 0.7950 0.7029  5 P 2.60-2.76
20 Zr 0.1960 0.1960 0.8108  4 P 2.64-2.88
21 Zr 0.9957 0.9957 0.8322  5 P 2.66-2.73
22 Zr 0.8241 0.8241 0.9588  5 P 2.74-3.06


[8]
# Y2Sc4Au3C3

A geometry-optimized Y2Sc4Au3C3 structure (PBE, OQMD via LeMat-Bulk).

Results
- V: 17.9 A^3/atom
- Final energy: -6.924 eV/atom

Lattice parameters (Å, degrees): 5.9350 5.9350 14.5006 102.06 102.06 59.97
Closest atoms and distances in Å follow each position.
Positions (direct):
1 Au 0.1012 0.4147 0.2500  4 Sc 2.92-2.94, 4 Au 2.97-2.98
2 Au 0.0705 0.9295 0.2500  4 Sc 2.93-2.94, 4 Au 2.97-2.98
3 Au 0.5853 0.8988 0.2500  4 Sc 2.92-2.94, 4 Au 2.97-2.98
4 Au 0.4147 0.1012 0.7500  4 Sc 2.92-2.94, 4 Au 2.97-2.98
5 Au 0.9295 0.0705 0.7500  4 Sc 2.93-2.94, 4 Au 2.97-2.98
6 Au 0.8988 0.5853 0.7500  4 Sc 2.92-2.94, 4 Au 2.97-2.98
7 C 0.5000 0.0000 0.0000  4 Sc 2.28, 2 Y 2.50
8 C 0.1617 0.6694 0.0001  4 Sc 2.27-2.29, 2 Y 2.51
9 C 0.3306 0.8383 0.4999  4 Sc 2.27-2.29, 2 Y 2.51
10 C 0.0000 0.5000 0.5000  4 Sc 2.28, 2 Y 2.50
11 C 0.6694 0.1617 0.5001  4 Sc 2.27-2.29, 2 Y 2.51
12 C 0.8383 0.3306 0.9999  4 Sc 2.27-2.29, 2 Y 2.51
13 Sc 0.8579 0.6940 0.0815  3 C 2.28
14 Sc 0.1980 0.0238 0.0815  3 C 2.27-2.29
15 Sc 0.9762 0.8020 0.4185  3 C 2.27-2.29
16 Sc 0.3060 0.1421 0.4185  3 C 2.28
17 Sc 0.6940 0.8579 0.5815  3 C 2.28
18 Sc 0.0238 0.1980 0.5815  3 C 2.27-2.29
19 Sc 0.8020 0.9762 0.9185  3 C 2.27-2.29
20 Sc 0.1421 0.3060 0.9185  3 C 2.28
21 Y 0.5372 0.3714 0.1083  3 C 2.50-2.51
22 Y 0.6286 0.4628 0.3917  3 C 2.50-2.51
23 Y 0.3714 0.5372 0.6083  3 C 2.50-2.51
24 Y 0.4628 0.6286 0.8917  3 C 2.50-2.51


[9]
# Pm3CuPt8

A geometry-optimized Pm3CuPt8 structure (PBE, OQMD via LeMat-Bulk).

Results
- V: 19.0 A^3/atom
- Final energy: -6.416 eV/atom
- E_form: -882 meV per atom

Lattice parameters (Å, degrees): 9.4253 9.4253 9.4253 33.59 33.59 33.59
Closest atoms and distances in Å follow each position.
Positions (direct):
1 Cu 0.8610 0.8610 0.8610  6 Pt 2.83-3.15
2 Pm 0.3785 0.3785 0.3785  12 Pt 3.17-3.23, 4 Pm 3.47-3.49
3 Pm 0.5087 0.5087 0.5087  12 Pt 3.03-3.29, 3 Cu 3.18
4 Pm 0.9881 0.9881 0.9881  9 Pt 3.02-3.27
5 Pt 0.1896 0.1896 0.1896  6 Pt 2.70-2.73
6 Pt 0.4377 0.9418 0.4377  6 Pt 2.70-2.75, 2 Pm 3.02
7 Pt 0.9418 0.4377 0.4377  6 Pt 2.70-2.75, 2 Pm 3.02
8 Pt 0.9390 0.9390 0.4398  6 Pt 2.72-2.73, 1 Cu 2.83
9 Pt 0.6890 0.6890 0.6890  6 Pt 2.72-2.73
10 Pt 0.9390 0.4398 0.9390  6 Pt 2.72-2.73, 1 Cu 2.83
11 Pt 0.4398 0.9390 0.9390  6 Pt 2.72-2.73, 1 Cu 2.83
12 Pt 0.4377 0.4377 0.9418  6 Pt 2.70-2.75, 2 Pm 3.02


[10]
# Tm2Sn2Ir

A geometry-optimized Tm2Sn2Ir structure (PBE, OQMD via LeMat-Bulk).

Results
- V: 23.5 A^3/atom
- Final energy: -5.925 eV/atom

Lattice parameters (Å, degrees): 5.8359 5.8359 10.8628 113.69 113.69 44.88
Closest atoms and distances in Å follow each position.
Positions (direct):
1 Ir 0.7224 0.7224 0.3226  4 Sn 2.67-2.83, 3 Tm 2.93-2.96
2 Ir 0.2776 0.2776 0.6774  4 Sn 2.67-2.83, 3 Tm 2.93-2.96
3 Sn 0.4645 0.4645 0.1141  1 Ir 2.72, 1 Sn 2.90
4 Sn 0.3458 0.3458 0.4534  3 Ir 2.67-2.83
5 Sn 0.6542 0.6542 0.5466  3 Ir 2.67-2.83
6 Sn 0.5355 0.5355 0.8859  1 Ir 2.72, 1 Sn 2.90
7 Tm 0.1849 0.1849 0.1302  2 Ir 2.96, 6 Sn 3.10-3.30
8 Tm 0.9959 0.9959 0.3266  1 Ir 2.93, 4 Sn 3.12-3.17
9 Tm 0.0041 0.0041 0.6734  1 Ir 2.93, 4 Sn 3.12-3.17
10 Tm 0.8151 0.8151 0.8698  2 Ir 2.96, 6 Sn 3.10-3.30


[11]
# RbGdFeSe3

A geometry-optimized RbGdFeSe3 structure (PBE, OQMD via LeMat-Bulk).

Results
- V: 26.8 A^3/atom
- Final energy: -5.193 eV/atom
- Energy above the lowest structure with this stoichiometry: 0.53 eV per formula unit

Lattice parameters (Å, degrees): 4.3496 13.0390 11.3249 90.00 90.00 90.00
Closest atoms and distances in Å follow each position.
Positions (direct):
1 Fe 0.7500 0.2105 0.0096  4 Se 2.41-2.48
2 Fe 0.2500 0.7895 0.4904  4 Se 2.41-2.48
3 Fe 0.7500 0.2895 0.5096  4 Se 2.41-2.48
4 Fe 0.2500 0.7105 0.9904  4 Se 2.41-2.48
5 Gd 0.7500 0.8164 0.2345  6 Se 2.93-3.06
6 Gd 0.2500 0.1836 0.2655  6 Se 2.93-3.06
7 Gd 0.7500 0.6836 0.7345  6 Se 2.93-3.06
8 Gd 0.2500 0.3164 0.7655  6 Se 2.93-3.06
9 Rb 0.7500 0.4974 0.0724  7 Se 3.39-3.48, 2 Fe 3.65
10 Rb 0.2500 0.5026 0.4276  7 Se 3.39-3.48, 2 Fe 3.65
11 Rb 0.7500 0.0026 0.5724  7 Se 3.39-3.48, 2 Fe 3.65
12 Rb 0.2500 0.9974 0.9276  7 Se 3.39-3.48, 2 Fe 3.65
13 Se 0.2500 0.3005 0.0311  2 Fe 2.48
14 Se 0.7500 0.0689 0.1524  1 Fe 2.45
15 Se 0.2500 0.6695 0.1978  1 Fe 2.41
16 Se 0.7500 0.3305 0.3022  1 Fe 2.41
17 Se 0.2500 0.9311 0.3476  1 Fe 2.45
18 Se 0.7500 0.6995 0.4689  2 Fe 2.48
19 Se 0.2500 0.1995 0.5311  2 Fe 2.48
20 Se 0.7500 0.4311 0.6524  1 Fe 2.45
21 Se 0.2500 0.8305 0.6978  1 Fe 2.41
22 Se 0.7500 0.1695 0.8022  1 Fe 2.41
23 Se 0.2500 0.5689 0.8476  1 Fe 2.45
24 Se 0.7500 0.8005 0.9689  2 Fe 2.48


Which of these has the lowest final energy?
Zr7P4